No. 1
Compound: Tm2ZrPaAs4
Source: Alexandria
Functional: PBE-GGA
Structure: relaxed

```
data_Tm2ZrPaAs4
_chemical_formula_sum 'Tm2 Zr1 Pa1 As4'
_symmetry_space_group_name_H-M 'P 1 2/m 1'
_symmetry_Int_Tables_number 10
_symmetry_space_group_name_Hall '-P 2y'
_cell_length_a 6.929
_cell_length_b 4.022
_cell_length_c 6.983
_cell_angle_alpha 90.00
_cell_angle_beta 109.34
_cell_angle_gamma 90.00
loop_
_atom_site_label
_atom_site_fract_x
_atom_site_fract_y
_atom_site_fract_z
Tm1 0.000 0.000 0.000
Tm2 0.500 0.500 0.000
Zr1 0.000 0.500 0.500
Pa1 0.500 0.000 0.500
As1 0.244 0.000 0.744
As2 0.244 0.500 0.250
```


No. 2
Compound: U3Pa5As8
Source: Alexandria
Functional: PBE-GGA
Structure: relaxed

```
data_U3Pa5As8
_chemical_formula_sum 'U9 Pa15 As24'
_symmetry_space_group_name_H-M 'R -3 m'
_symmetry_Int_Tables_number 166
_symmetry_space_group_name_Hall '-R 3 2"'
_cell_length_a 8.1551
_cell_length_b 8.1551
_cell_length_c 20.1640
_cell_angle_alpha 90.00
_cell_angle_beta 90.00
_cell_angle_gamma 120.00
loop_
_atom_site_label
_atom_site_fract_x
_atom_site_fract_y
_atom_site_fract_z
U1 0.0000 0.5000 0.0000
Pa1 0.0000 0.0000 0.0000
Pa2 0.0000 0.0000 0.5000
Pa3 0.0000 0.5000 0.5000
As1 0.0000 0.0000 0.2502
As2 0.0004 0.5002 0.2502
```


No. 3
Compound: UPa2As3
Source: Alexandria
Functional: PBE-GGA
Structure: relaxed

```
data_UPa2As3
_chemical_formula_sum 'U2 Pa4 As6'
_symmetry_space_group_name_H-M 'I m m m'
_symmetry_Int_Tables_number 71
_symmetry_space_group_name_Hall '-I 2 2'
_cell_length_a 4.076
_cell_length_b 5.781
_cell_length_c 12.323
_cell_angle_alpha 90.00
_cell_angle_beta 90.00
_cell_angle_gamma 90.00
loop_
_atom_site_label
_atom_site_fract_x
_atom_site_fract_y
_atom_site_fract_z
U1 0.000 0.000 0.000
Pa1 0.000 0.000 0.333
As1 0.000 0.500 0.000
As2 0.000 0.500 0.334
```


No. 4
Compound: U5PaAs6
Source: Alexandria
Functional: PBE-GGA
Structure: relaxed

```
data_U5PaAs6
_chemical_formula_sum 'U10 Pa2 As12'
_symmetry_space_group_name_H-M 'C 1 2/m 1'
_symmetry_Int_Tables_number 12
_symmetry_space_group_name_Hall '-C 2y'
_cell_length_a 7.083
_cell_length_b 12.269
_cell_length_c 7.079
_cell_angle_alpha 90.00
_cell_angle_beta 109.49
_cell_angle_gamma 90.00
loop_
_atom_site_label
_atom_site_fract_x
_atom_site_fract_y
_atom_site_fract_z
U1 0.000 0.000 0.000
U2 0.000 0.166 0.500
U3 0.000 0.333 0.000
Pa1 0.000 0.500 0.500
As1 0.249 0.500 0.249
As2 0.250 0.167 0.250
```


No. 5
Compound: U4PaAs5
Source: Alexandria
Functional: PBE-GGA
Structure: relaxed

```
data_U4PaAs5
_chemical_formula_sum 'U8 Pa2 As10'
_symmetry_space_group_name_H-M 'I m m m'
_symmetry_Int_Tables_number 71
_symmetry_space_group_name_Hall '-I 2 2'
_cell_length_a 4.058
_cell_length_b 5.782
_cell_length_c 20.611
_cell_angle_alpha 90.00
_cell_angle_beta 90.00
_cell_angle_gamma 90.00
loop_
_atom_site_label
_atom_site_fract_x
_atom_site_fract_y
_atom_site_fract_z
U1 0.000 0.000 0.100
U2 0.000 0.000 0.300
Pa1 0.000 0.000 0.500
As1 0.000 0.500 0.100
As2 0.000 0.500 0.300
As3 0.000 0.500 0.500
```


No. 6
Compound: U2PaAs
Source: Alexandria
Functional: PBE-GGA
Structure: relaxed

```
data_U2PaAs
_chemical_formula_sum 'U2 Pa1 As1'
_symmetry_space_group_name_H-M 'P 4/m m m'
_symmetry_Int_Tables_number 123
_symmetry_space_group_name_Hall '-P 4 2'
_cell_length_a 3.756
_cell_length_b 3.756
_cell_length_c 6.064
_cell_angle_alpha 90.00
_cell_angle_beta 90.00
_cell_angle_gamma 90.00
loop_
_atom_site_label
_atom_site_fract_x
_atom_site_fract_y
_atom_site_fract_z
U1 0.000 0.000 0.216
Pa1 0.500 0.500 0.500
As1 0.500 0.500 0.000
```

Results
E above lowest polymorph (meV/atom): 136.9


No. 7
Compound: UPaAs
Source: Alexandria
Functional: PBE-GGA
Structure: relaxed

```
data_UPaAs
_chemical_formula_sum 'U4 Pa4 As4'
_symmetry_space_group_name_H-M 'C m c m'
_symmetry_Int_Tables_number 63
_symmetry_space_group_name_Hall '-C 2c 2'
_cell_length_a 5.433
_cell_length_b 8.617
_cell_length_c 5.703
_cell_angle_alpha 90.00
_cell_angle_beta 90.00
_cell_angle_gamma 90.00
loop_
_atom_site_label
_atom_site_fract_x
_atom_site_fract_y
_atom_site_fract_z
U1 0.000 0.004 0.250
Pa1 0.000 0.311 0.250
As1 0.000 0.342 0.750
```

Results
E above lowest polymorph (meV/atom): 17.2


No. 8
Compound: UPa5As6
Source: Alexandria
Functional: PBE-GGA
Structure: relaxed

```
data_UPa5As6
_chemical_formula_sum 'U2 Pa10 As12'
_symmetry_space_group_name_H-M 'C 1 2/m 1'
_symmetry_Int_Tables_number 12
_symmetry_space_group_name_Hall '-C 2y'
_cell_length_a 7.091
_cell_length_b 12.286
_cell_length_c 7.087
_cell_angle_alpha 90.00
_cell_angle_beta 109.47
_cell_angle_gamma 90.00
loop_
_atom_site_label
_atom_site_fract_x
_atom_site_fract_y
_atom_site_fract_z
U1 0.000 0.000 0.000
Pa1 0.000 0.167 0.500
Pa2 0.000 0.333 0.000
Pa3 0.000 0.500 0.500
As1 0.250 0.000 0.750
As2 0.250 0.167 0.250
```


No. 9
Compound: UPaAs3
Source: Alexandria
Functional: PBE-GGA
Structure: relaxed

```
data_UPaAs3
_chemical_formula_sum 'U4 Pa4 As12'
_symmetry_space_group_name_H-M 'P b c m'
_symmetry_Int_Tables_number 57
_symmetry_space_group_name_Hall '-P 2c 2b'
_cell_length_a 14.083
_cell_length_b 5.517
_cell_length_c 5.667
_cell_angle_alpha 90.00
_cell_angle_beta 90.00
_cell_angle_gamma 90.00
loop_
_atom_site_label
_atom_site_fract_x
_atom_site_fract_y
_atom_site_fract_z
U1 0.105 0.250 0.000
Pa1 0.339 0.505 0.250
As1 0.085 0.738 0.250
As2 0.279 0.012 0.250
As3 0.499 0.250 0.000
```


No. 10
Compound: U2PaAs
Source: Alexandria
Functional: PBE-GGA
Structure: relaxed

```
data_U2PaAs
_chemical_formula_sum 'U8 Pa4 As4'
_symmetry_space_group_name_H-M 'F m -3 m'
_symmetry_Int_Tables_number 225
_symmetry_space_group_name_Hall '-F 4 2 3'
_cell_length_a 6.913
_cell_length_b 6.913
_cell_length_c 6.913
_cell_angle_alpha 90.00
_cell_angle_beta 90.00
_cell_angle_gamma 90.00
loop_
_atom_site_label
_atom_site_fract_x
_atom_site_fract_y
_atom_site_fract_z
U1 0.250 0.250 0.250
Pa1 0.000 0.000 0.000
As1 0.000 0.000 0.500
```

Results
E above lowest polymorph (meV/atom): 399.3


No. 11
Compound: U4PaAs4
Source: Alexandria
Functional: PBE-GGA
Structure: relaxed

```
data_U4PaAs4
_chemical_formula_sum 'U4 Pa1 As4'
_symmetry_space_group_name_H-M 'P 1'
_symmetry_Int_Tables_number 1
_symmetry_space_group_name_Hall 'P 1'
_cell_length_a 5.530
_cell_length_b 5.772
_cell_length_c 7.430
_cell_angle_alpha 98.60
_cell_angle_beta 111.68
_cell_angle_gamma 101.21
loop_
_atom_site_label
_atom_site_fract_x
_atom_site_fract_y
_atom_site_fract_z
U1 0.000 0.000 0.000
U2 0.186 0.648 0.092
U3 0.416 0.884 0.454
U4 0.712 0.237 0.274
Pa1 0.497 0.432 0.823
As1 0.289 0.353 0.388
As2 0.405 0.926 0.847
As3 0.791 0.740 0.259
As4 0.911 0.294 0.709
```


No. 12
Compound: U2PaAs
Source: Alexandria
Functional: PBE-GGA
Structure: relaxed

```
data_U2PaAs
_chemical_formula_sum 'U2 Pa1 As1'
_symmetry_space_group_name_H-M 'P 4/m m m'
_symmetry_Int_Tables_number 123
_symmetry_space_group_name_Hall '-P 4 2'
_cell_length_a 4.291
_cell_length_b 4.291
_cell_length_c 4.439
_cell_angle_alpha 90.00
_cell_angle_beta 90.00
_cell_angle_gamma 90.00
loop_
_atom_site_label
_atom_site_fract_x
_atom_site_fract_y
_atom_site_fract_z
U1 0.000 0.500 0.000
Pa1 0.000 0.000 0.500
As1 0.500 0.500 0.500
```

Results
E above lowest polymorph (meV/atom): 0.0


Number 1: DFT formation energy -1.2781 eV/atom. Number 2: DFT formation energy -0.9283 eV/atom. Number 3: DFT formation energy -0.9411 eV/atom. Number 4: DFT formation energy -0.7699 eV/atom. Number 5: DFT formation energy -0.7814 eV/atom. Number 6: DFT formation energy -0.2288 eV/atom. Number 7: DFT formation energy -0.3374 eV/atom. Number 8: DFT formation energy -1.0004 eV/atom. Number 9: DFT formation energy -0.6401 eV/atom. Number 10: DFT formation energy 0.0336 eV/atom. Number 11: DFT formation energy -0.5163 eV/atom. Number 12: DFT formation energy -0.3657 eV/atom.